# RbGaAgSb, optimized geometry, DFT GGA-PBE
data_RbGaAgSb
_symmetry_space_group_name_H-M 'P 1'
_symmetry_Int_Tables_number 1
_symmetry_space_group_name_Hall 'P 1'
_cell_length_a 4.541
_cell_length_b 4.541
_cell_length_c 13.161
_cell_angle_alpha 90.00
_cell_angle_beta 90.00
_cell_angle_gamma 90.00
loop_
_atom_site_label
_atom_site_fract_x
_atom_site_fract_y
_atom_site_fract_z
Rb1 0.250 0.250 0.221
Rb2 0.750 0.750 0.779
Ga1 0.250 0.750 0.500
Ga2 0.750 0.250 0.500
Ag1 0.250 0.750 0.000
Ag2 0.750 0.250 0.000
Sb1 0.250 0.250 0.622
Sb2 0.750 0.750 0.378
# DOS at the Fermi energy in states/eV/cell: 1.0
# Formation energy without anion corrections in eV per atom: -0.07
# Space group: P4/nmm, No. 129
# Raw total energy in eV per atom: -2.81



# Pm2Zn3GePt4, optimized geometry, DFT GGA-PBE
data_Pm2Zn3GePt4
_symmetry_space_group_name_H-M 'P 1'
_symmetry_Int_Tables_number 1
_symmetry_space_group_name_Hall 'P 1'
_cell_length_a 4.293
_cell_length_b 4.293
_cell_length_c 10.360
_cell_angle_alpha 90.00
_cell_angle_beta 90.00
_cell_angle_gamma 90.00
loop_
_atom_site_label
_atom_site_fract_x
_atom_site_fract_y
_atom_site_fract_z
Pm1 0.000 0.500 0.248
Pm2 0.500 0.000 0.752
Zn1 0.000 0.500 0.867
Zn2 0.500 0.000 0.133
Zn3 0.500 0.500 0.500
Ge1 0.000 0.000 0.500
Pt1 0.000 0.000 0.000
Pt2 0.000 0.500 0.629
Pt3 0.500 0.000 0.371
Pt4 0.500 0.500 0.000
# DOS at the Fermi energy in states/eV/cell: 5.0
# Space group: P-4m2, No. 115
# Energy relative to the elements in eV/atom: -0.79
# Raw total energy in eV per atom: -5.00



# Nd2MnZn3Ni12, optimized geometry, DFT GGA-PBE
data_Nd2MnZn3Ni12
_symmetry_space_group_name_H-M 'P 1'
_symmetry_Int_Tables_number 1
_symmetry_space_group_name_Hall 'P 1'
_cell_length_a 9.271
_cell_length_b 9.271
_cell_length_c 9.271
_cell_angle_alpha 38.01
_cell_angle_beta 38.01
_cell_angle_gamma 38.01
loop_
_atom_site_label
_atom_site_fract_x
_atom_site_fract_y
_atom_site_fract_z
Nd1 0.154 0.154 0.154
Nd2 0.846 0.846 0.846
Mn1 0.500 0.500 0.500
Zn1 0.000 0.500 0.500
Zn2 0.500 0.000 0.500
Zn3 0.500 0.500 0.000
Ni1 0.079 0.079 0.688
Ni2 0.079 0.688 0.079
Ni3 0.151 0.569 0.569
Ni4 0.312 0.921 0.921
Ni5 0.431 0.431 0.849
Ni6 0.431 0.849 0.431
Ni7 0.569 0.151 0.569
Ni8 0.569 0.569 0.151
Ni9 0.688 0.079 0.079
Ni10 0.849 0.431 0.431
Ni11 0.921 0.312 0.921
Ni12 0.921 0.921 0.312
# DOS at the Fermi energy in states/eV/cell: 16.2
# Space group: R-3m, No. 166
# Energy relative to the elements in eV/atom: 0.12
# Raw total energy in eV per atom: -4.98



# LaYTl2, optimized geometry, DFT GGA-PBE
data_LaYTl2
_symmetry_space_group_name_H-M 'P 1'
_symmetry_Int_Tables_number 1
_symmetry_space_group_name_Hall 'P 1'
_cell_length_a 4.257
_cell_length_b 4.257
_cell_length_c 6.910
_cell_angle_alpha 90.00
_cell_angle_beta 90.00
_cell_angle_gamma 90.00
loop_
_atom_site_label
_atom_site_fract_x
_atom_site_fract_y
_atom_site_fract_z
La1 0.000 0.000 0.000
Y1 0.500 0.500 0.689
Tl1 0.000 0.000 0.501
Tl2 0.500 0.500 0.232
# DOS at the Fermi energy in states/eV/cell: 4.8
# Space group: P4mm, No. 99
# Energy relative to the elements in eV/atom: -0.15
# Raw total energy in eV per atom: -4.18



# Y2As3Rh4Au, optimized geometry, DFT GGA-PBE
data_Y2As3Rh4Au
_symmetry_space_group_name_H-M 'P 1'
_symmetry_Int_Tables_number 1
_symmetry_space_group_name_Hall 'P 1'
_cell_length_a 4.048
_cell_length_b 4.048
_cell_length_c 11.184
_cell_angle_alpha 90.00
_cell_angle_beta 90.00
_cell_angle_gamma 90.00
loop_
_atom_site_label
_atom_site_fract_x
_atom_site_fract_y
_atom_site_fract_z
Y1 0.000 0.500 0.244
Y2 0.500 0.000 0.756
As1 0.000 0.000 0.000
As2 0.000 0.500 0.628
As3 0.500 0.000 0.372
Rh1 0.000 0.000 0.500
Rh2 0.000 0.500 0.837
Rh3 0.500 0.000 0.163
Rh4 0.500 0.500 0.500
Au1 0.500 0.500 0.000
# DOS at the Fermi energy in states/eV/cell: 4.0
# Space group: P-4m2, No. 115
# Energy relative to the elements in eV/atom: -0.77
# Raw total energy in eV per atom: -6.73



# MnPI2N, optimized geometry, DFT GGA-PBE
data_MnPI2N
_symmetry_space_group_name_H-M 'P 1'
_symmetry_Int_Tables_number 1
_symmetry_space_group_name_Hall 'P 1'
_cell_length_a 5.317
_cell_length_b 5.317
_cell_length_c 3.528
_cell_angle_alpha 90.00
_cell_angle_beta 90.00
_cell_angle_gamma 90.00
loop_
_atom_site_label
_atom_site_fract_x
_atom_site_fract_y
_atom_site_fract_z
Mn1 0.000 0.000 0.000
P1 0.500 0.500 0.500
I1 0.000 0.500 0.000
I2 0.500 0.000 0.000
N1 0.000 0.000 0.500
# DOS at the Fermi energy in states/eV/cell: 8.2
# Formation energy without anion corrections in eV per atom: 0.72
# Space group: P4/mmm, No. 123
# Raw total energy in eV per atom: -4.48



# LiTbY4Se8, optimized geometry, DFT GGA-PBE
data_LiTbY4Se8
_symmetry_space_group_name_H-M 'P 1'
_symmetry_Int_Tables_number 1
_symmetry_space_group_name_Hall 'P 1'
_cell_length_a 8.381
_cell_length_b 8.381
_cell_length_c 8.381
_cell_angle_alpha 59.95
_cell_angle_beta 59.95
_cell_angle_gamma 59.95
loop_
_atom_site_label
_atom_site_fract_x
_atom_site_fract_y
_atom_site_fract_z
Li1 0.000 0.000 0.000
Tb1 0.370 0.370 0.370
Y1 0.370 0.370 0.891
Y2 0.370 0.891 0.370
Y3 0.750 0.750 0.750
Y4 0.891 0.370 0.370
Se1 0.130 0.130 0.130
Se2 0.130 0.130 0.610
Se3 0.130 0.610 0.130
Se4 0.151 0.617 0.617
Se5 0.610 0.130 0.130
Se6 0.616 0.616 0.616
Se7 0.617 0.151 0.617
Se8 0.617 0.617 0.151
# DOS at the Fermi energy in states/eV/cell: 0.0
# Formation energy without anion corrections in eV per atom: -1.79
# Space group: R3m, No. 160
# Raw total energy in eV per atom: -6.10



# CrPdAu, optimized geometry, DFT GGA-PBE
data_CrPdAu
_symmetry_space_group_name_H-M 'P 1'
_symmetry_Int_Tables_number 1
_symmetry_space_group_name_Hall 'P 1'
_cell_length_a 4.447
_cell_length_b 4.447
_cell_length_c 2.869
_cell_angle_alpha 90.00
_cell_angle_beta 90.00
_cell_angle_gamma 120.00
loop_
_atom_site_label
_atom_site_fract_x
_atom_site_fract_y
_atom_site_fract_z
Cr1 0.000 0.000 0.000
Pd1 0.667 0.333 0.998
Au1 0.333 0.667 0.499
# DOS at the Fermi energy in states/eV/cell: 3.7
# Space group: P3m1, No. 156
# Energy relative to the elements in eV/atom: 0.13
# Raw total energy in eV per atom: -5.90



# BaCaAg, optimized geometry, DFT GGA-PBE
data_BaCaAg
_symmetry_space_group_name_H-M 'P 1'
_symmetry_Int_Tables_number 1
_symmetry_space_group_name_Hall 'P 1'
_cell_length_a 5.324
_cell_length_b 5.324
_cell_length_c 4.808
_cell_angle_alpha 90.00
_cell_angle_beta 90.00
_cell_angle_gamma 120.00
loop_
_atom_site_label
_atom_site_fract_x
_atom_site_fract_y
_atom_site_fract_z
Ba1 0.000 0.000 0.000
Ca1 0.667 0.333 0.500
Ag1 0.333 0.667 0.502
# DOS at the Fermi energy in states/eV/cell: 3.7
# Space group: P3m1, No. 156
# Energy relative to the elements in eV/atom: -0.06
# Raw total energy in eV per atom: -2.32



# Tb8Bi2Te3, optimized geometry, DFT GGA-PBE
data_Tb8Bi2Te3
_symmetry_space_group_name_H-M 'P 1'
_symmetry_Int_Tables_number 1
_symmetry_space_group_name_Hall 'P 1'
_cell_length_a 8.286
_cell_length_b 8.286
_cell_length_c 7.130
_cell_angle_alpha 91.84
_cell_angle_beta 91.84
_cell_angle_gamma 62.06
loop_
_atom_site_label
_atom_site_fract_x
_atom_site_fract_y
_atom_site_fract_z
Tb1 0.098 0.672 0.148
Tb2 0.112 0.112 0.388
Tb3 0.328 0.902 0.852
Tb4 0.343 0.343 0.666
Tb5 0.657 0.657 0.334
Tb6 0.672 0.098 0.148
Tb7 0.888 0.888 0.612
Tb8 0.902 0.328 0.852
Bi1 0.253 0.253 0.081
Bi2 0.747 0.747 0.919
Te1 0.287 0.713 0.500
Te2 0.500 0.500 0.000
Te3 0.713 0.287 0.500
# DOS at the Fermi energy in states/eV/cell: 11.4
# Formation energy without anion corrections in eV per atom: -0.65
# Space group: C2/m, No. 12
# Raw total energy in eV per atom: -4.82



# HfW2I, optimized geometry, DFT GGA-PBE
data_HfW2I
_symmetry_space_group_name_H-M 'P 1'
_symmetry_Int_Tables_number 1
_symmetry_space_group_name_Hall 'P 1'
_cell_length_a 4.735
_cell_length_b 4.735
_cell_length_c 4.735
_cell_angle_alpha 60.00
_cell_angle_beta 60.00
_cell_angle_gamma 60.00
loop_
_atom_site_label
_atom_site_fract_x
_atom_site_fract_y
_atom_site_fract_z
Hf1 0.000 0.000 0.000
W1 0.250 0.250 0.250
W2 0.750 0.750 0.750
I1 0.500 0.500 0.500
# DOS at the Fermi energy in states/eV/cell: 4.2
# Formation energy without anion corrections in eV per atom: 1.06
# Space group: Fm-3m, No. 225
# Raw total energy in eV per atom: -8.29